Record 1
Here is crystalline CdH12C5NCl3 at its relaxed geometry from OQMD. Energies are from PBE.

Cell: 14.5763 10.2806 6.7935 Å, 90.00 90.00 90.00°
Closest atoms and distances in Å follow each position.
Positions (direct):
C  0.6638  0.0854  0.1110  2 H 1.10
C  0.1638  0.4146  0.1110  2 H 1.10
C  0.1308  0.5469  0.1675  1 H 1.09
C  0.6308  0.9531  0.1675  1 H 1.09
C  0.2625  0.2272  0.1957  3 H 1.10
C  0.7624  0.2728  0.1957  3 H 1.10
C  0.0431  0.5725  0.2097  2 H 1.09
C  0.5431  0.9275  0.2097  2 H 1.09
C  0.6988  0.1393  0.4614  3 H 1.09-1.10
C  0.1988  0.3607  0.4614  3 H 1.09-1.10
C  0.8362  0.5854  0.6110  2 H 1.10
C  0.3362  0.9146  0.6110  2 H 1.10
C  0.3692  0.0469  0.6675  1 H 1.09
C  0.8692  0.4531  0.6675  1 H 1.09
C  0.2375  0.7272  0.6957  3 H 1.10
C  0.7376  0.7728  0.6957  3 H 1.10
C  0.4569  0.0725  0.7097  2 H 1.09
C  0.9569  0.4275  0.7097  2 H 1.09
C  0.8012  0.6393  0.9614  3 H 1.09-1.10
C  0.3012  0.8607  0.9614  3 H 1.09-1.10
Cd  0.5024  0.5002  0.0507  6 Cl 2.64-2.70
Cd  0.0024  0.9998  0.0507  6 Cl 2.64-2.70
Cd  0.9976  0.0002  0.5507  6 Cl 2.64-2.70
Cd  0.4976  0.4998  0.5507  6 Cl 2.64-2.70
Cl  0.3765  0.6042  0.2968  1 H 2.27
Cl  0.8765  0.8958  0.2968  1 H 2.27
Cl  0.9888  0.1965  0.3001  2 Cd 2.64-2.65, 3 H 2.65-2.74
Cl  0.4888  0.3035  0.3001  2 Cd 2.64-2.65, 3 H 2.65-2.74
Cl  0.6243  0.5888  0.3062  4 H 2.61-2.91, 2 Cd 2.65
Cl  0.1243  0.9112  0.3062  4 H 2.61-2.91, 2 Cd 2.65
Cl  0.1235  0.1042  0.7968  1 H 2.27
Cl  0.6235  0.3958  0.7968  1 H 2.27
Cl  0.5112  0.6965  0.8001  2 Cd 2.64-2.65, 3 H 2.65-2.74
Cl  0.0112  0.8035  0.8001  2 Cd 2.64-2.65, 3 H 2.65-2.74
Cl  0.8757  0.0888  0.8062  4 H 2.61-2.91, 2 Cd 2.65
Cl  0.3757  0.4112  0.8062  4 H 2.61-2.91, 2 Cd 2.65
H  0.8193  0.5396  0.0025  1 C 1.09
H  0.3193  0.9604  0.0025  1 C 1.09
H  0.2887  0.2310  0.0446  1 C 1.10
H  0.7887  0.2690  0.0446  1 C 1.10
H  0.7466  0.6748  0.0581  1 C 1.10
H  0.2466  0.8252  0.0581  1 C 1.10
H  0.6073  0.1560  0.1066  1 C 1.10
H  0.1073  0.3440  0.1066  1 C 1.10
H  0.1819  0.6248  0.1717  1 C 1.09
H  0.6819  0.8752  0.1717  1 C 1.09
H  0.2026  0.1629  0.2053  1 C 1.10
H  0.7026  0.3371  0.2053  1 C 1.10
H  0.4916  0.0048  0.2085  1 C 1.09
H  0.9916  0.4952  0.2085  1 C 1.09
H  0.0207  0.6709  0.2461  1 C 1.09
H  0.5207  0.8291  0.2461  1 C 1.09
H  0.7908  0.0772  0.2517  1 N 1.05
H  0.2908  0.4228  0.2517  1 N 1.05
H  0.3171  0.1952  0.2953  1 C 1.10
H  0.8171  0.3048  0.2953  1 C 1.10
H  0.8006  0.5851  0.4681  1 C 1.10
H  0.3006  0.9149  0.4681  1 C 1.10
H  0.6383  0.2023  0.4691  1 C 1.10
H  0.1383  0.2977  0.4691  1 C 1.10
H  0.6807  0.0396  0.5025  1 C 1.09
H  0.1807  0.4604  0.5025  1 C 1.09
H  0.2113  0.7310  0.5446  1 C 1.10
H  0.7113  0.7690  0.5446  1 C 1.10
H  0.7534  0.1748  0.5581  1 C 1.10
H  0.2534  0.3252  0.5581  1 C 1.10
H  0.8927  0.6560  0.6066  1 C 1.10
H  0.3927  0.8440  0.6066  1 C 1.10
H  0.3181  0.1248  0.6717  1 C 1.09
H  0.8181  0.3752  0.6717  1 C 1.09
H  0.2974  0.6629  0.7053  1 C 1.10
H  0.7974  0.8371  0.7053  1 C 1.10
H  0.0084  0.5048  0.7085  1 C 1.09
H  0.5084  0.9952  0.7085  1 C 1.09
H  0.4793  0.1709  0.7461  1 C 1.09
H  0.9793  0.3291  0.7461  1 C 1.09
H  0.7092  0.5772  0.7517  1 N 1.05
H  0.2092  0.9228  0.7517  1 N 1.05
H  0.1829  0.6952  0.7953  1 C 1.10
H  0.6829  0.8048  0.7953  1 C 1.10
H  0.6994  0.0851  0.9681  1 C 1.10
H  0.1994  0.4149  0.9681  1 C 1.10
H  0.8617  0.7023  0.9691  1 C 1.10
H  0.3617  0.7977  0.9691  1 C 1.10
N  0.7336  0.1392  0.2553  1 H 1.05
N  0.2336  0.3608  0.2553  1 H 1.05
N  0.7664  0.6392  0.7553  1 H 1.05
N  0.2664  0.8608  0.7553  1 H 1.05

=====

Record 2
Here is crystalline YErCS at its relaxed geometry from OQMD. Energies are from PBE.

total moment: 0.00 μB/f.u.

Cell: 3.6883 3.6883 12.8401 Å, 90.00 90.00 120.00°
Closest atoms and distances in Å follow each position.
Positions (direct):
C  0.0000  0.0000  0.4986  3 Er 2.50, 3 Y 2.52
C  0.0000  0.0000  0.9986  3 Er 2.50, 3 Y 2.52
Er  0.6667  0.3333  0.3960  3 C 2.50
Er  0.3333  0.6667  0.8960  3 C 2.50
S  0.3333  0.6667  0.2514  3 Er 2.83, 3 Y 2.85
S  0.6667  0.3333  0.7514  3 Er 2.83, 3 Y 2.85
Y  0.6667  0.3333  0.1040  3 C 2.52
Y  0.3333  0.6667  0.6040  3 C 2.52

=====

Record 3
Here is crystalline LiLuCoBi at its relaxed geometry from OQMD. Energies are from PBE.

total moment: 0.00 μB/f.u.
excess energy over the best structure of this formula in the dataset: 0.0 meV/atom

Cell: 4.6307 4.6307 4.6307 Å, 60.00 60.00 60.00°
Closest atoms and distances in Å follow each position.
Positions (direct):
Bi  0.0000  0.0000  0.0000  4 Li 2.84, 4 Co 2.84
Co  0.2500  0.2500  0.2500  4 Lu 2.84, 4 Bi 2.84
Li  0.7500  0.7500  0.7500  4 Lu 2.84, 4 Bi 2.84
Lu  0.5000  0.5000  0.5000  4 Li 2.84, 4 Co 2.84

=====

In eV/atom, the total energy values for the records above are, in order, -4.9272; -7.3706; -4.7031.